Entry 1:
# Eu2LuAg, relaxed, DFT PBE
data_Eu2LuAg
_chemical_formula_sum 'Eu2 Lu1 Ag1'
_cell_length_a 4.805
_cell_length_b 4.805
_cell_length_c 5.175
_cell_angle_alpha 90.00
_cell_angle_beta 90.00
_cell_angle_gamma 90.00
_space_group_name_H-M_alt 'P 4/m m m'
_space_group_IT_number 123
_space_group_name_Hall '-P 4 2'
loop_
_atom_site_label
_atom_site_type_symbol
_atom_site_fract_x
_atom_site_fract_y
_atom_site_fract_z
_atom_site_occupancy
Eu1 Eu 0.000 0.500 0.000 1
Lu1 Lu 0.000 0.000 0.500 1
Ag1 Ag 0.500 0.500 0.500 1
# * excess energy over the best structure of this formula in the dataset: 0.113 eV/atom
# * uncorrected energy: -6.919 eV per atom
# * ΔE_f: 61 meV per atom
# * mass density: 8.16 g cm⁻³
# * density of states at the Fermi level: 1.31 states/eV/atom



Entry 2:
# EuLu2Ag, relaxed, DFT PBE
data_EuLu2Ag
_chemical_formula_sum 'Eu1 Lu2 Ag1'
_cell_length_a 3.587
_cell_length_b 3.587
_cell_length_c 8.912
_cell_angle_alpha 90.00
_cell_angle_beta 90.00
_cell_angle_gamma 90.00
_space_group_name_H-M_alt 'P 4/m m m'
_space_group_IT_number 123
_space_group_name_Hall '-P 4 2'
loop_
_atom_site_label
_atom_site_type_symbol
_atom_site_fract_x
_atom_site_fract_y
_atom_site_fract_z
_atom_site_occupancy
Eu1 Eu 0.000 0.000 0.000 1
Lu1 Lu 0.500 0.500 0.305 1
Ag1 Ag 0.000 0.000 0.500 1
# * excess energy over the best structure of this formula in the dataset: 0.000 eV/atom
# * uncorrected energy: -5.621 eV per atom
# * ΔE_f: -79 meV per atom
# * mass density: 8.83 g cm⁻³
# * density of states at the Fermi level: 1.10 states/eV/atom



Entry 3:
# EuLuAg2, relaxed, DFT PBE
data_EuLuAg2
_chemical_formula_sum 'Eu4 Lu4 Ag8'
_cell_length_a 7.350
_cell_length_b 7.350
_cell_length_c 7.350
_cell_angle_alpha 90.00
_cell_angle_beta 90.00
_cell_angle_gamma 90.00
_space_group_name_H-M_alt 'F m -3 m'
_space_group_IT_number 225
_space_group_name_Hall '-F 4 2 3'
loop_
_atom_site_label
_atom_site_type_symbol
_atom_site_fract_x
_atom_site_fract_y
_atom_site_fract_z
_atom_site_occupancy
Eu1 Eu 0.000 0.000 0.000 1
Lu1 Lu 0.000 0.000 0.500 1
Ag1 Ag 0.250 0.250 0.250 1
# * excess energy over the best structure of this formula in the dataset: 0.052 eV/atom
# * uncorrected energy: -5.383 eV per atom
# * ΔE_f: -258 meV per atom
# * mass density: 9.08 g cm⁻³
# * density of states at the Fermi level: 2.31 states/eV/atom



Entry 4:
# EuLuAgPb, relaxed, DFT PBE
data_EuLuAgPb
_chemical_formula_sum 'Eu4 Lu4 Ag4 Pb4'
_cell_length_a 7.571
_cell_length_b 7.571
_cell_length_c 7.571
_cell_angle_alpha 90.00
_cell_angle_beta 90.00
_cell_angle_gamma 90.00
_space_group_name_H-M_alt 'F -4 3 m'
_space_group_IT_number 216
_space_group_name_Hall 'F -4 2 3'
loop_
_atom_site_label
_atom_site_type_symbol
_atom_site_fract_x
_atom_site_fract_y
_atom_site_fract_z
_atom_site_occupancy
Eu1 Eu 0.000 0.000 0.000 1
Lu1 Lu 0.000 0.000 0.500 1
Ag1 Ag 0.250 0.250 0.250 1
Pb1 Pb 0.250 0.250 0.750 1
# * uncorrected energy: -5.734 eV per atom
# * ΔE_f: -395 meV per atom
# * mass density: 9.82 g cm⁻³
# * density of states at the Fermi level: 1.97 states/eV/atom



Entry 5:
# EuLuSiAg, relaxed, DFT PBE
data_EuLuSiAg
_chemical_formula_sum 'Eu4 Lu4 Si4 Ag4'
_cell_length_a 7.205
_cell_length_b 7.205
_cell_length_c 7.205
_cell_angle_alpha 90.00
_cell_angle_beta 90.00
_cell_angle_gamma 90.00
_space_group_name_H-M_alt 'F -4 3 m'
_space_group_IT_number 216
_space_group_name_Hall 'F -4 2 3'
loop_
_atom_site_label
_atom_site_type_symbol
_atom_site_fract_x
_atom_site_fract_y
_atom_site_fract_z
_atom_site_occupancy
Eu1 Eu 0.000 0.000 0.000 1
Lu1 Lu 0.000 0.000 0.500 1
Si1 Si 0.250 0.250 0.750 1
Ag1 Ag 0.250 0.250 0.250 1
# * energy relative to the elements, uncorrected: -0.395 eV/atom
# * uncorrected energy: -6.162 eV per atom
# * mass density: 8.22 g cm⁻³
# * density of states at the Fermi level: 0.98 states/eV/atom



Entry 6:
# EuLuTlAg, relaxed, DFT PBE
data_EuLuTlAg
_chemical_formula_sum 'Eu4 Lu4 Tl4 Ag4'
_cell_length_a 7.529
_cell_length_b 7.529
_cell_length_c 7.529
_cell_angle_alpha 90.00
_cell_angle_beta 90.00
_cell_angle_gamma 90.00
_space_group_name_H-M_alt 'F -4 3 m'
_space_group_IT_number 216
_space_group_name_Hall 'F -4 2 3'
loop_
_atom_site_label
_atom_site_type_symbol
_atom_site_fract_x
_atom_site_fract_y
_atom_site_fract_z
_atom_site_occupancy
Eu1 Eu 0.000 0.000 0.000 1
Lu1 Lu 0.000 0.000 0.500 1
Tl1 Tl 0.250 0.250 0.750 1
Ag1 Ag 0.250 0.250 0.250 1
# * uncorrected energy: -5.294 eV per atom
# * ΔE_f: -290 meV per atom
# * mass density: 9.95 g cm⁻³
# * density of states at the Fermi level: 2.61 states/eV/atom



Entry 7:
# EuMgAg, relaxed, DFT PBE
data_EuMgAg
_chemical_formula_sum 'Eu1 Mg1 Ag1'
_cell_length_a 4.9494
_cell_length_b 4.9494
_cell_length_c 3.8120
_cell_angle_alpha 90.00
_cell_angle_beta 90.00
_cell_angle_gamma 120.00
_space_group_name_H-M_alt 'P -6 m 2'
_space_group_IT_number 187
_space_group_name_Hall 'P -6 2'
loop_
_atom_site_label
_atom_site_type_symbol
_atom_site_fract_x
_atom_site_fract_y
_atom_site_fract_z
_atom_site_occupancy
Eu1 Eu 0.0000 0.0000 0.0000 1
Mg1 Mg 0.3333 0.6667 0.5000 1
Ag1 Ag 0.6667 0.3333 0.5000 1
# * uncorrected energy: -5.095 eV per atom
# * ΔE_f: -188 meV per atom
# * mass density: 5.83 g cm⁻³
# * density of states at the Fermi level: 2.62 states/eV/atom



Entry 8:
# EuMg3Ag, relaxed, DFT PBE
data_EuMg3Ag
_chemical_formula_sum 'Eu1 Mg3 Ag1'
_cell_length_a 5.188
_cell_length_b 5.188
_cell_length_c 5.188
_cell_angle_alpha 90.00
_cell_angle_beta 90.00
_cell_angle_gamma 90.00
_space_group_name_H-M_alt 'P m -3 m'
_space_group_IT_number 221
_space_group_name_Hall '-P 4 2 3'
loop_
_atom_site_label
_atom_site_type_symbol
_atom_site_fract_x
_atom_site_fract_y
_atom_site_fract_z
_atom_site_occupancy
Eu1 Eu 0.000 0.000 0.000 1
Mg1 Mg 0.000 0.500 0.500 1
Ag1 Ag 0.500 0.500 0.500 1
# * uncorrected energy: -3.609 eV per atom
# * ΔE_f: -27 meV per atom
# * mass density: 3.96 g cm⁻³
# * density of states at the Fermi level: 2.62 states/eV/atom